Entry 1:
Computed, not measured: an optimized crystal structure of LaVCr3 at the PBE-GGA level of DFT.

```
LaVCr3
1.0
4.590 0.000 0.000
0.000 4.590 0.000
0.000 0.000 4.590
La V Cr
1 1 3
Cartesian
0.000 0.000 0.000
2.295 2.295 2.295
0.000 2.295 2.295
2.295 0.000 2.295
2.295 2.295 0.000
```

Output
Formation enthalpy at 0 K ... 0.736 eV per atom
Energy above the most stable polymorph in this dataset ... 0.000 eV/atom


Entry 2:
Computed, not measured: an optimized crystal structure of Ho2CdPd9 at the PBE-GGA level of DFT.

```
Ho2CdPd9
1.0
4.082 0.000 0.000
0.000 4.082 0.000
0.000 0.000 12.292
Ho Cd Pd
2 1 9
Cartesian
0.000 0.000 2.092
0.000 0.000 10.200
0.000 0.000 6.146
0.000 2.041 0.000
0.000 2.041 4.133
0.000 2.041 8.159
2.041 0.000 0.000
2.041 0.000 4.133
2.041 0.000 8.159
2.041 2.041 2.050
2.041 2.041 6.146
2.041 2.041 10.242
```

Output
Formation enthalpy at 0 K ... -0.669 eV per atom


Entry 3:
Computed, not measured: an optimized crystal structure of Li2La3Cd3 at the PBE-GGA level of DFT.

```
Li2La3Cd3
1.0
10.272 -2.056 0.000
10.272 2.056 0.000
-1.406 0.000 5.222
Li La Cd
2 3 3
Cartesian
4.586 0.000 1.239
14.552 0.000 3.983
0.000 0.000 0.000
1.823 0.000 3.294
17.315 0.000 1.928
6.094 0.000 4.474
9.569 0.000 2.611
13.044 0.000 0.748
```

Output
Formation enthalpy at 0 K ... -0.204 eV per atom


Entry 4:
Computed, not measured: an optimized crystal structure of CrSbS2 at the PBE-GGA level of DFT.

```
CrSbS2
1.0
6.245 0.000 0.000
0.000 3.273 0.000
0.000 0.000 15.274
Cr Sb S
4 4 8
Cartesian
0.394 0.818 1.050
2.729 2.455 8.687
3.517 0.818 6.587
5.851 2.455 14.224
0.124 0.818 10.100
2.999 2.455 2.462
3.246 0.818 12.812
6.121 2.455 5.175
0.347 0.818 12.699
1.537 0.818 7.571
1.586 2.455 15.208
2.775 2.455 5.062
3.470 0.818 10.213
4.659 0.818 0.066
4.709 2.455 7.703
5.898 2.455 2.575
```

Output
E_form (uncorrected) ... -1.0 eV/f.u.


Entry 5:
Computed, not measured: an optimized crystal structure of In2OsPt at the PBE-GGA level of DFT.

```
In2OsPt
1.0
1.615 -2.532 0.000
1.615 2.532 0.000
0.000 0.000 8.870
In Os Pt
2 1 1
Cartesian
0.000 0.000 2.213
0.000 0.000 6.656
1.615 0.000 0.000
1.615 0.000 4.435
```

Output
Formation enthalpy at 0 K ... 0.294 eV per atom


Entry 6:
Computed, not measured: an optimized crystal structure of EuGe2Au at the PBE-GGA level of DFT.

```
EuGe2Au
1.0
2.124 1.226 7.984
-2.124 1.226 7.984
0.000 -2.453 7.984
Eu Ge Au
1 2 1
Cartesian
0.000 0.000 0.000
0.000 0.000 3.079
0.000 0.000 20.874
0.000 0.000 11.977
```

Output
Formation enthalpy at 0 K ... 0.054 eV per atom
Energy above the most stable polymorph in this dataset ... 0.411 eV/atom


Raw total energy / eV per atom: -7.85; -5.40; -2.87; -5.76; -5.39; -5.64